1.
# GGA-PBE AlCu2Tc, relaxed
data_AlCu2Tc
_chemical_formula_sum 'Al1 Cu2 Tc1'
_space_group_name_H-M_alt 'P 1'
_space_group_IT_number 1
_cell_length_a 4.720
_cell_length_b 4.720
_cell_length_c 2.619
_cell_angle_alpha 90.00
_cell_angle_beta 90.00
_cell_angle_gamma 113.99
loop_
_space_group_symop_operation_xyz
'x,y,z'
loop_
_atom_site_label
_atom_site_type_symbol
_atom_site_fract_x
_atom_site_fract_y
_atom_site_fract_z
_atom_site_occupancy
Tc1 Tc 0.500 0.000 0.500 1
Cu1 Cu 0.000 0.000 0.000 1
Cu2 Cu 0.500 0.500 0.000 1
Al1 Al 0.000 0.500 0.500 1
# Fermi-level density of states, states/eV/f.u.: 2.240
# Raw total energy, eV per atom: -5.592
# ΔE_f, eV/atom: -0.02

=====

2.
# GGA-PBE Ca2InSi, relaxed
data_Ca2InSi
_chemical_formula_sum 'Ca2 In1 Si1'
_space_group_name_H-M_alt 'P 1'
_space_group_IT_number 1
_cell_length_a 8.371
_cell_length_b 8.371
_cell_length_c 8.371
_cell_angle_alpha 29.80
_cell_angle_beta 29.80
_cell_angle_gamma 29.80
loop_
_space_group_symop_operation_xyz
'x,y,z'
loop_
_atom_site_label
_atom_site_type_symbol
_atom_site_fract_x
_atom_site_fract_y
_atom_site_fract_z
_atom_site_occupancy
Ca1 Ca 0.032 0.032 0.032 1
Ca2 Ca 0.225 0.225 0.225 1
In1 In 0.474 0.474 0.474 1
Si1 Si 0.769 0.769 0.769 1
# Fermi-level density of states, states/eV/f.u.: 2.828
# Raw total energy, eV per atom: -3.223